# 1
The following is a DFT calculation (GGA-PBE) of TbLuIn4 after structural relaxation.

POSCAR file:
```
TbLuIn4
1.0
4.627 0.000 0.000
0.000 2.297 7.058
0.000 -2.297 7.058
Tb Lu In
1 1 4
direct
0.000 0.000 0.000
0.000 0.311 0.311
0.000 0.657 0.657
0.500 0.157 0.157
0.500 0.479 0.479
0.500 0.830 0.830
```

Output
E   -3.760 eV per atom

# 2
The following is a DFT calculation (GGA-PBE) of TbLuIn after structural relaxation.

POSCAR file:
```
TbLuIn
1.0
0.000 3.631 3.631
3.631 0.000 3.631
3.631 3.631 0.000
Tb Lu In
1 1 1
direct
0.000 0.000 0.000
0.500 0.500 0.500
0.750 0.750 0.750
```

Output
E   -4.046 eV per atom
Energy above the most stable polymorph in this dataset   0 meV/atom